1.
First-principles (PBE-GGA) data for a relaxed LiSn2Br8 crystal, as listed in Alexandria.

Computed properties:
- SG = No. 12
- total DFT energy (no corrections) (eV/atom) = -2.865
- crystal system = monoclinic
- formation energy (no corrections) (eV/atom) = -0.7470
- spin magnetization (μB/f.u.) = 0.0
- excess energy over the best structure of this formula in the dataset (meV per atom) = 0
- Fermi-level density of states (states/eV/cell) = 5.55

Cell: 8.442 8.442 6.788 Å, 96.11 96.11 79.34°
Sites, in units of the cell vectors:
Li 0.000 0.000 0.000
Sn 0.204 0.204 0.687
Sn 0.796 0.796 0.313
Br 0.083 0.725 0.195
Br 0.194 0.194 0.306
Br 0.275 0.917 0.805
Br 0.392 0.392 0.860
Br 0.608 0.608 0.140
Br 0.725 0.083 0.195
Br 0.806 0.806 0.694
Br 0.917 0.275 0.805


2.
First-principles (PBE-GGA) data for a relaxed CaSc2Au crystal, as listed in Alexandria.

Computed properties:
- SG = No. 123
- total DFT energy (no corrections) (eV/atom) = -4.757
- crystal system = tetragonal
- spin magnetization (μB/f.u.) = 0.0
- excess energy over the best structure of this formula in the dataset (meV per atom) = 76
- Fermi-level density of states (states/eV/cell) = 4.53

Cell: 3.438 3.438 8.891 Å, 90.00 90.00 90.00°
Sites, in units of the cell vectors:
Ca 0.000 0.000 0.000
Sc 0.500 0.500 0.318
Sc 0.500 0.500 0.682
Au 0.000 0.000 0.500


3.
First-principles (PBE-GGA) data for a relaxed KHfIO2 crystal, as listed in Alexandria.

Computed properties:
- SG = No. 123
- total DFT energy (no corrections) (eV/atom) = -3.718
- crystal system = tetragonal
- formation energy (no corrections) (eV/atom) = 0.7857
- spin magnetization (μB/f.u.) = 0.0
- excess energy over the best structure of this formula in the dataset (meV per atom) = 2752
- Fermi-level density of states (states/eV/cell) = 9.09

Cell: 4.468 4.468 5.624 Å, 90.00 90.00 90.00°
Sites, in units of the cell vectors:
K 0.000 0.000 0.000
Hf 0.500 0.500 0.500
I 0.000 0.000 0.500
O 0.000 0.500 0.000
O 0.500 0.000 0.000


4.
First-principles (PBE-GGA) data for a relaxed Ca2Zn2PtAu5 crystal, as listed in Alexandria.

Computed properties:
- SG = No. 127
- total DFT energy (no corrections) (eV/atom) = -3.356
- crystal system = tetragonal
- spin magnetization (μB/f.u.) = 0.0
- Fermi-level density of states (states/eV/cell) = 5.21

Cell: 10.140 10.140 3.782 Å, 90.00 90.00 90.00°
Sites, in units of the cell vectors:
Ca 0.176 0.324 0.000
Ca 0.324 0.824 0.000
Ca 0.676 0.176 0.000
Ca 0.824 0.676 0.000
Zn 0.124 0.624 0.000
Zn 0.376 0.124 0.000
Zn 0.624 0.876 0.000
Zn 0.876 0.376 0.000
Pt 0.000 0.000 0.000
Pt 0.500 0.500 0.000
Au 0.000 0.500 0.500
Au 0.062 0.802 0.500
Au 0.198 0.062 0.500
Au 0.302 0.562 0.500
Au 0.438 0.302 0.500
Au 0.500 0.000 0.500
Au 0.562 0.698 0.500
Au 0.698 0.438 0.500
Au 0.802 0.938 0.500
Au 0.938 0.198 0.500


5.
First-principles (PBE-GGA) data for a relaxed ZnAg2Rh crystal, as listed in Alexandria.

Computed properties:
- SG = No. 166
- total DFT energy (no corrections) (eV/atom) = -3.498
- crystal system = trigonal
- spin magnetization (μB/f.u.) = 0.5
- Fermi-level density of states (states/eV/cell) = 2.50

Cell: 9.389 9.389 9.389 Å, 17.30 17.30 17.30°
Sites, in units of the cell vectors:
Zn 0.000 0.000 0.000
Ag 0.251 0.251 0.251
Ag 0.749 0.749 0.749
Rh 0.500 0.500 0.500


6.
First-principles (PBE-GGA) data for a relaxed LiPmLu2 crystal, as listed in Alexandria.

Computed properties:
- SG = No. 225
- total DFT energy (no corrections) (eV/atom) = -3.706
- crystal system = cubic
- spin magnetization (μB/f.u.) = 0.0
- excess energy over the best structure of this formula in the dataset (meV per atom) = 134
- Fermi-level density of states (states/eV/cell) = 4.01

Cell: 5.451 5.451 5.451 Å, 60.00 60.00 60.00°
Sites, in units of the cell vectors:
Li 0.000 0.000 0.000
Pm 0.500 0.500 0.500
Lu 0.250 0.250 0.250
Lu 0.750 0.750 0.750


7.
First-principles (PBE-GGA) data for a relaxed NdEr3Ru8 crystal, as listed in Alexandria.

Computed properties:
- SG = No. 8
- total DFT energy (no corrections) (eV/atom) = -7.998
- crystal system = monoclinic
- spin magnetization (μB/f.u.) = 0.0
- Fermi-level density of states (states/eV/cell) = 15.01

Cell: 5.329 5.329 9.304 Å, 106.82 106.82 59.97°
Sites, in units of the cell vectors:
Nd 0.000 0.000 0.000
Er 0.125 0.125 0.376
Er 0.501 0.501 0.502
Er 0.625 0.625 0.874
Ru 0.063 0.063 0.684
Ru 0.063 0.558 0.684
Ru 0.067 0.563 0.193
Ru 0.313 0.313 0.938
Ru 0.558 0.063 0.684
Ru 0.563 0.067 0.193
Ru 0.563 0.563 0.193
Ru 0.813 0.813 0.439


8.
First-principles (PBE-GGA) data for a relaxed CrMoIr3 crystal, as listed in Alexandria.

Computed properties:
- SG = No. 221
- total DFT energy (no corrections) (eV/atom) = -7.400
- crystal system = cubic
- spin magnetization (μB/f.u.) = 0.5
- excess energy over the best structure of this formula in the dataset (meV per atom) = 1928
- Fermi-level density of states (states/eV/cell) = 12.56

Cell: 4.688 4.688 4.688 Å, 90.00 90.00 90.00°
Sites, in units of the cell vectors:
Cr 0.000 0.000 0.000
Mo 0.500 0.500 0.500
Ir 0.000 0.500 0.500
Ir 0.500 0.000 0.500
Ir 0.500 0.500 0.000


9.
First-principles (PBE-GGA) data for a relaxed Cs2HfNp2S6 crystal, as listed in Alexandria.

Computed properties:
- SG = No. 12
- total DFT energy (no corrections) (eV/atom) = -7.112
- crystal system = monoclinic
- formation energy (no corrections) (eV/atom) = -1.4479
- spin magnetization (μB/f.u.) = 8.0
- Fermi-level density of states (states/eV/cell) = 21.62

Cell: 6.833 6.833 8.570 Å, 97.78 97.78 119.65°
Sites, in units of the cell vectors:
Cs 0.168 0.832 0.000
Cs 0.832 0.168 0.000
Hf 0.000 0.000 0.500
Np 0.334 0.666 0.500
Np 0.666 0.334 0.500
S 0.060 0.374 0.675
S 0.254 0.254 0.325
S 0.374 0.060 0.675
S 0.626 0.940 0.325
S 0.746 0.746 0.675
S 0.940 0.626 0.325


10.
First-principles (PBE-GGA) data for a relaxed AcLa9Er2 crystal, as listed in Alexandria.

Computed properties:
- SG = No. 123
- total DFT energy (no corrections) (eV/atom) = -4.782
- crystal system = tetragonal
- spin magnetization (μB/f.u.) = 0.0
- Fermi-level density of states (states/eV/cell) = 20.69

Cell: 5.243 5.243 15.809 Å, 90.00 90.00 90.00°
Sites, in units of the cell vectors:
Ac 0.000 0.000 0.000
La 0.000 0.500 0.174
La 0.000 0.500 0.500
La 0.000 0.500 0.826
La 0.500 0.000 0.174
La 0.500 0.000 0.500
La 0.500 0.000 0.826
La 0.500 0.500 0.000
La 0.500 0.500 0.338
La 0.500 0.500 0.662
Er 0.000 0.000 0.337
Er 0.000 0.000 0.663


11.
First-principles (PBE-GGA) data for a relaxed Th5Sb3Ru crystal, as listed in Alexandria.

Computed properties:
- SG = No. 193
- total DFT energy (no corrections) (eV/atom) = -7.305
- crystal system = hexagonal
- formation energy (no corrections) (eV/atom) = -0.7778
- spin magnetization (μB/f.u.) = 0.0
- Fermi-level density of states (states/eV/cell) = 13.23

Cell: 9.525 9.525 6.484 Å, 90.00 90.00 120.00°
Sites, in units of the cell vectors:
Th 0.000 0.248 0.250
Th 0.000 0.752 0.750
Th 0.248 0.000 0.250
Th 0.248 0.248 0.750
Th 0.333 0.667 0.000
Th 0.333 0.667 0.500
Th 0.667 0.333 0.000
Th 0.667 0.333 0.500
Th 0.752 0.000 0.750
Th 0.752 0.752 0.250
Sb 0.000 0.393 0.750
Sb 0.000 0.607 0.250
Sb 0.393 0.000 0.750
Sb 0.393 0.393 0.250
Sb 0.607 0.000 0.250
Sb 0.607 0.607 0.750
Ru 0.000 0.000 0.000
Ru 0.000 0.000 0.500


12.
First-principles (PBE-GGA) data for a relaxed DyPu3Tl12 crystal, as listed in Alexandria.

Computed properties:
- SG = No. 123
- total DFT energy (no corrections) (eV/atom) = -4.830
- crystal system = tetragonal
- spin magnetization (μB/f.u.) = 17.5
- Fermi-level density of states (states/eV/cell) = 42.36

Cell: 4.792 4.792 19.046 Å, 90.00 90.00 90.00°
Sites, in units of the cell vectors:
Dy 0.000 0.000 0.000
Pu 0.000 0.000 0.248
Pu 0.000 0.000 0.500
Pu 0.000 0.000 0.752
Tl 0.000 0.500 0.124
Tl 0.000 0.500 0.375
Tl 0.000 0.500 0.625
Tl 0.000 0.500 0.876
Tl 0.500 0.000 0.124
Tl 0.500 0.000 0.375
Tl 0.500 0.000 0.625
Tl 0.500 0.000 0.876
Tl 0.500 0.500 0.000
Tl 0.500 0.500 0.250
Tl 0.500 0.500 0.500
Tl 0.500 0.500 0.750